[1]
Below is a geometry-optimized TbHo2Fe structure, with properties calculated at the PBE level.

- Raw total energy: -5.578 eV/atom
- Space group: Pnma
- Offset from the most stable computed form: 0 meV per atom
- Total moment: 0.00 μB/cell
- Formation energy: -0.0155 eV per atom

Cell: 6.2473 7.0301 9.1435 Å, 90.00 90.00 90.00°
Fractional coordinates of all 16 atoms:
Tb: 0.6367 0.5491 0.2500
Tb: 0.8633 0.0491 0.2500
Tb: 0.3633 0.4509 0.7500
Tb: 0.1367 0.9509 0.7500
Ho: 0.1725 0.6738 0.0672
Ho: 0.3275 0.1738 0.4328
Ho: 0.8275 0.3262 0.5672
Ho: 0.6725 0.8262 0.9328
Ho: 0.8275 0.3262 0.9328
Ho: 0.6725 0.8262 0.5672
Ho: 0.1725 0.6738 0.4328
Ho: 0.3275 0.1738 0.0672
Fe: 0.0341 0.3898 0.2500
Fe: 0.4659 0.8898 0.2500
Fe: 0.9659 0.6102 0.7500
Fe: 0.5341 0.1102 0.7500



[2]
Below is a geometry-optimized Ce6NpSe12 structure, with properties calculated at the PBE level.

- Raw total energy: -6.402 eV/atom
- Space group: R-3
- Total moment: 7.03 μB/cell
- Energy relative to the elements, uncorrected: -1.65 eV per atom

Cell: 8.4167 8.4167 8.4167 Å, 99.56 99.56 99.56°
Each line ends with the local moment (μB).
Fractional coordinates of all 19 atoms:
Ce: 0.1367 0.3064 0.6251  0.68
Ce: 0.6936 0.3749 0.8633  0.68
Ce: 0.3749 0.8633 0.6936  0.68
Ce: 0.8633 0.6936 0.3749  0.68
Ce: 0.3064 0.6251 0.1367  0.68
Ce: 0.6251 0.1367 0.3064  0.68
Np: 0.0000 0.0000 0.0000  3.43
Se: 0.4297 0.1773 0.5789  -0.04
Se: 0.1773 0.5789 0.4297  -0.04
Se: 0.5789 0.4297 0.1773  -0.04
Se: 0.5703 0.8227 0.4211  -0.04
Se: 0.8227 0.4211 0.5703  -0.04
Se: 0.4211 0.5703 0.8227  -0.04
Se: 0.0453 0.9340 0.6753  -0.06
Se: 0.3247 0.9547 0.0660  -0.06
Se: 0.0660 0.3247 0.9547  -0.06
Se: 0.9547 0.0660 0.3247  -0.06
Se: 0.6753 0.0453 0.9340  -0.06
Se: 0.9340 0.6753 0.0453  -0.06



[3]
Below is a geometry-optimized K2LiMn structure, with properties calculated at the PBE level.

- Raw total energy: -2.656 eV/atom
- Space group: I-4m2
- Offset from the most stable computed form: 129 meV per atom
- Total moment: 4.50 μB/cell
- Formation energy: 0.6640 eV per atom

Cell: 5.9453 5.9453 5.9453 Å, 120.16 120.16 89.72°
Each line ends with the local moment (μB).
Fractional coordinates of all 4 atoms:
K: 0.0000 0.0000 0.0000  0.00
K: 0.2500 0.7500 0.5000  -0.01
Li: 0.5000 0.5000 0.0000  -0.03
Mn: 0.7500 0.2500 0.5000  4.29



[4]
Below is a geometry-optimized BeCr4Cd structure, with properties calculated at the PBE level.

- Raw total energy: -6.623 eV/atom
- Space group: F-43m
- Total moment: 0.00 μB/cell
- Formation energy: 0.5665 eV per atom

Cell: 4.8106 4.8106 4.8106 Å, 60.00 60.00 60.00°
Fractional coordinates of all 6 atoms:
Be: 0.7500 0.7500 0.7500
Cr: 0.8704 0.3765 0.3765
Cr: 0.3765 0.3765 0.8704
Cr: 0.3765 0.8704 0.3765
Cr: 0.3765 0.3765 0.3765
Cd: 0.0000 0.0000 0.0000